## KAcSe4 (PBE)

Data for a relaxed KAcSe4 crystal.

abc: 6.0910 6.0910 6.0910
angles: 60.00 60.00 60.00
Fractional coordinates of all 6 atoms:
Ac 0.0000 0.0000 0.0000
K 0.2500 0.2500 0.2500
Se 0.6253 0.6253 0.1242
Se 0.6253 0.1242 0.6253
Se 0.6253 0.6253 0.6253
Se 0.1242 0.6253 0.6253

Values from the calculation:
SG	F-43m
mass density	6.05	g/cm³
ΔE_f (raw)	-0.51	eV per atom

## TaCrRe2 (PBE)

Data for a relaxed TaCrRe2 crystal.

abc: 5.1466 5.1466 2.7175
angles: 79.66 79.66 117.12
Fractional coordinates of all 4 atoms:
Cr 0.0000 0.5000 0.5000
Re 0.0000 0.0000 0.0000
Re 0.5000 0.5000 0.0000
Ta 0.5000 0.0000 0.5000

Values from the calculation:
SG	C2/m
E_form	-0.013	eV/atom
mass density	16.71	g/cm³

## Y3HW (PBE)

Data for a relaxed Y3HW crystal.

abc: 5.4524 5.4524 5.4524
angles: 90.00 90.00 90.00
Fractional coordinates of all 5 atoms:
Y 0.0000 0.5000 0.0000
Y 0.0000 0.0000 0.5000
Y 0.5000 0.0000 0.0000
H 0.5000 0.5000 0.5000
W 0.0000 0.0000 0.0000

Values from the calculation:
SG	Pm-3m
energy above the most stable polymorph in this dataset	0.786	eV/atom
mass density	4.63	g/cm³

## BaSbSe2 (PBE)

Data for a relaxed BaSbSe2 crystal.

abc: 4.0692 4.1085 7.6700
angles: 89.95 90.00 90.00
Fractional coordinates of all 4 atoms:
Ba 0.5000 0.2500 0.2500
Sb 0.5000 0.7500 0.7500
Se 0.0000 0.7502 0.0147
Se 0.0000 0.7498 0.4853

Values from the calculation:
SG	Pmmm
mass density	5.40	g/cm³
ΔE_f (raw)	-0.98	eV per atom

## Rb2ZnPbO4 (PBE)

Data for a relaxed Rb2ZnPbO4 crystal.

abc: 6.2036 6.2033 5.9657
angles: 121.33 121.34 89.99
Fractional coordinates of all 8 atoms:
Rb 0.4860 0.9860 0.9719
Rb 0.2360 0.2360 0.4720
Zn 0.7359 0.7359 0.4717
Pb 0.9858 0.4859 0.9717
O 0.7075 0.6046 0.7015
O 0.8670 0.4775 0.2417
O 0.3747 0.7642 0.2418
O 0.9942 0.0970 0.7018

Values from the calculation:
SG	I-4
mass density	5.42	g/cm³
ΔE_f (raw)	-1.24	eV per atom

## Y2CrCl (PBE)

Data for a relaxed Y2CrCl crystal.

abc: 8.4185 8.4185 8.4185
angles: 156.83 155.33 34.09
Fractional coordinates of all 4 atoms:
Y 0.9405 0.9405 0.0000
Y 0.7052 0.2052 0.5000
Cr 0.3046 0.8046 0.5000
Cl 0.5497 0.5497 0.0000

Values from the calculation:
SG	Imm2
energy above the most stable polymorph in this dataset	0.206	eV/atom
mass density	4.50	g/cm³
ΔE_f (raw)	-0.26	eV per atom